DFT (PBE) results for crystalline Mg4InSnIr2 at its relaxed geometry.

Values from the calculation:
- Space-group type: Amm2, No. 38
- E_tot: -3.4855 eV/atom
- M_tot: 0.001 Bohr magnetons per cell

```
8
Lattice="6.558 0.000 0.000 0.000 2.512 7.902 0.000 -2.512 7.902" Properties=species:S:1:pos:R:3 pbc="T T T"
Mg 1.480 0.000 0.000
Mg 1.510 0.000 6.048
Mg 5.047 0.000 6.048
Mg 5.078 0.000 0.000
In 3.279 0.000 12.789
Sn 3.279 0.000 9.295
Ir 3.279 0.000 1.781
Ir 3.279 0.000 4.228
```